Entry 1:
! Mg14VCr | the Alexandria database | PBE | optimized geometry; values from VASP
&SYSTEM
  ibrav = 0, nat = 16, ntyp = 3
/
ATOMIC_SPECIES
Mg 24.30 Mg.upf
V 50.94 V.upf
Cr 52.00 Cr.upf
CELL_PARAMETERS angstrom
10.150 0.000 0.000
0.000 3.159 5.435
0.000 -3.159 5.435
ATOMIC_POSITIONS crystal
Mg 0.000 0.000 0.000
Mg 0.000 0.499 0.999
Mg 0.000 0.500 0.500
Mg 0.000 0.999 0.499
Mg 0.256 0.334 0.334
Mg 0.256 0.834 0.834
Mg 0.263 0.329 0.828
Mg 0.263 0.828 0.329
Mg 0.500 0.000 0.498
Mg 0.500 0.498 0.000
Mg 0.737 0.329 0.828
Mg 0.737 0.828 0.329
Mg 0.744 0.334 0.334
Mg 0.744 0.834 0.834
V 0.500 0.497 0.497
Cr 0.500 0.998 0.998
! Calculated total energy in eV per atom: -2.419
! E_form in kJ/mol of formula units: 228
! Total magnetization in μB per cell: 7.30

Entry 2:
! MgVCr2 | the Alexandria database | PBE | optimized geometry; values from VASP
&SYSTEM
  ibrav = 0, nat = 8, ntyp = 3
/
ATOMIC_SPECIES
Mg 24.30 Mg.upf
V 50.94 V.upf
Cr 52.00 Cr.upf
CELL_PARAMETERS angstrom
-1.825 1.825 9.029
1.825 -1.825 9.029
1.825 1.825 -9.029
ATOMIC_POSITIONS crystal
Mg 0.000 0.000 0.000
Mg 0.750 0.250 0.500
V 0.250 0.750 0.500
V 0.500 0.500 0.000
Cr 0.187 0.625 0.062
Cr 0.375 0.437 0.562
Cr 0.563 0.125 0.938
Cr 0.875 0.813 0.438
! Calculated total energy in eV per atom: -6.536
! E_form in kJ/mol of formula units: 368
! Total magnetization in μB per cell: 1.07

Entry 3:
! Mg2CrW | the Alexandria database | PBE | optimized geometry; values from VASP
&SYSTEM
  ibrav = 0, nat = 4, ntyp = 3
/
ATOMIC_SPECIES
Mg 24.30 Mg.upf
Cr 52.00 Cr.upf
W 183.84 W.upf
CELL_PARAMETERS angstrom
1.578 -2.339 0.000
1.578 2.339 0.000
0.000 0.000 9.266
ATOMIC_POSITIONS crystal
Mg 0.000 0.000 0.000
Mg 0.500 0.500 0.291
Cr 0.000 0.000 0.536
W 0.500 0.500 0.737
! Calculated total energy in eV per atom: -6.121
! E_form in kJ/mol of formula units: 123
! Total magnetization in μB per cell: 0.00

Entry 4:
! MgCrW4 | the Alexandria database | PBE | optimized geometry; values from VASP
&SYSTEM
  ibrav = 0, nat = 6, ntyp = 3
/
ATOMIC_SPECIES
Mg 24.30 Mg.upf
Cr 52.00 Cr.upf
W 183.84 W.upf
CELL_PARAMETERS angstrom
0.000 3.718 3.718
3.718 0.000 3.718
3.718 3.718 0.000
ATOMIC_POSITIONS crystal
Mg 0.000 0.000 0.000
Cr 0.250 0.250 0.250
W 0.124 0.625 0.625
W 0.625 0.124 0.625
W 0.625 0.625 0.124
W 0.625 0.625 0.625
! Calculated total energy in eV per atom: -9.947
! E_form in kJ/mol of formula units: 323
! Total magnetization in μB per cell: 0.00

Entry 5:
! MgCrW | the Alexandria database | PBE | optimized geometry; values from VASP
&SYSTEM
  ibrav = 0, nat = 3, ntyp = 3
/
ATOMIC_SPECIES
Mg 24.30 Mg.upf
Cr 52.00 Cr.upf
W 183.84 W.upf
CELL_PARAMETERS angstrom
-1.578 1.578 4.855
1.578 -1.578 4.855
1.578 1.578 -4.855
ATOMIC_POSITIONS crystal
Mg 0.000 0.000 0.000
Cr 0.311 0.311 0.000
W 0.699 0.699 0.000
! Calculated total energy in eV per atom: -7.672
! E_form in kJ/mol of formula units: 111
! Total magnetization in μB per cell: 0.27

Entry 6:
! Mg2CrW | the Alexandria database | PBE | optimized geometry; values from VASP
&SYSTEM
  ibrav = 0, nat = 4, ntyp = 3
/
ATOMIC_SPECIES
Mg 24.30 Mg.upf
Cr 52.00 Cr.upf
W 183.84 W.upf
CELL_PARAMETERS angstrom
2.682 0.000 0.000
0.000 2.682 0.000
0.000 0.000 9.046
ATOMIC_POSITIONS crystal
Mg 0.000 0.000 0.241
Mg 0.000 0.000 0.759
Cr 0.500 0.500 0.000
W 0.500 0.500 0.500
! Calculated total energy in eV per atom: -5.872
! E_form in kJ/mol of formula units: 220
! Total magnetization in μB per cell: 0.24

Entry 7:
! Mg2CrW | the Alexandria database | PBE | optimized geometry; values from VASP
&SYSTEM
  ibrav = 0, nat = 4, ntyp = 3
/
ATOMIC_SPECIES
Mg 24.30 Mg.upf
Cr 52.00 Cr.upf
W 183.84 W.upf
CELL_PARAMETERS angstrom
2.688 0.000 0.000
0.000 4.703 0.000
-1.260 0.000 5.126
ATOMIC_POSITIONS crystal
Mg 0.208 0.000 0.254
Mg 0.792 0.000 0.746
Cr 0.000 0.500 0.500
W 0.500 0.500 0.000
! Calculated total energy in eV per atom: -5.913
! E_form in kJ/mol of formula units: 204
! Total magnetization in μB per cell: 0.98

Entry 8:
! Mg2CrW | the Alexandria database | PBE | optimized geometry; values from VASP
&SYSTEM
  ibrav = 0, nat = 4, ntyp = 3
/
ATOMIC_SPECIES
Mg 24.30 Mg.upf
Cr 52.00 Cr.upf
W 183.84 W.upf
CELL_PARAMETERS angstrom
2.650 -4.651 0.000
2.650 4.651 0.000
-0.573 0.000 2.608
ATOMIC_POSITIONS crystal
Mg 0.000 0.500 0.000
Mg 0.500 0.000 0.000
Cr 0.000 0.000 0.500
W 0.500 0.500 0.500
! Calculated total energy in eV per atom: -5.908
! E_form in kJ/mol of formula units: 206
! Total magnetization in μB per cell: 0.00

Question: What is the E_form in the first record?
Answer: 228 kJ/mol of formula units

Question: Which value of calculated total energy does entry 5 give?
Answer: -7.672 eV per atom

Question: E_form of number 3 (Mg2CrW)?
Answer: 123 kJ/mol of formula units